Record 1
First-principles (PBE-GGA) data for an optimized crystal structure of Mg5InIr, as listed in Alexandria.

a b c (Å): 4.298 4.298 8.008
angles (deg): 90.00 90.00 90.00
Fractional positions:
Mg 0.000 0.500 0.264
Mg 0.000 0.000 0.500
Mg 0.500 0.000 0.264
Mg 0.500 0.000 0.736
Mg 0.000 0.500 0.736
In 0.000 0.000 0.000
Ir 0.500 0.500 0.500

Output
E above lowest polymorph = 0.0000 eV per atom
space group = P4/mmm, No. 123
D(E_F) = 0.420 states/eV/atom

=====

Record 2
First-principles (PBE-GGA) data for an optimized crystal structure of CuS2ClO, as listed in Alexandria.

a b c (Å): 3.792 3.792 6.689
angles (deg): 90.00 90.00 90.00
Last column: magnetic moment on the atom in μB.
Fractional positions:
O 0.000 0.000 0.000  0.09
S 0.000 0.500 0.000  0.17
S 0.500 0.000 0.000  0.17
Cu 0.500 0.500 0.500  0.05
Cl 0.000 0.000 0.500  0.02

Output
ΔE_f (raw) = 0.578 eV per atom
E above lowest polymorph = 0.0000 eV per atom
space group = P4/mmm, No. 123
D(E_F) = 0.889 states/eV/atom

=====

Record 3
First-principles (PBE-GGA) data for an optimized crystal structure of As2IrPtW, as listed in Alexandria.

a b c (Å): 4.746 4.832 4.746
angles (deg): 90.00 90.00 90.00
Fractional positions:
Pt 0.500 0.500 0.500
As 0.000 0.000 0.500
As 0.500 0.000 0.000
Ir 0.000 0.500 0.000
W 0.000 0.000 0.000

Output
E above lowest polymorph = 0.0000 eV per atom
space group = P4/mmm, No. 123
D(E_F) = 0.920 states/eV/atom

=====

Record 4
First-principles (PBE-GGA) data for an optimized crystal structure of LaHoCoPt, as listed in Alexandria.

a b c (Å): 4.956 4.956 4.956
angles (deg): 60.00 60.00 60.00
Fractional positions:
Pt 0.250 0.250 0.250
Ho 0.000 0.000 0.000
La 0.500 0.500 0.500
Co 0.750 0.750 0.750

Output
raw total energy = -6.220 eV per atom
space group = F-43m, No. 216
D(E_F) = 0.647 states/eV/atom

=====

Record 5
First-principles (PBE-GGA) data for an optimized crystal structure of Sc2InRh, as listed in Alexandria.

a b c (Å): 4.728 3.497 4.729
angles (deg): 90.00 90.00 90.00
Fractional positions:
Sc 0.500 0.125 0.375
Sc 0.000 0.125 0.875
Rh 0.500 0.625 0.875
In 0.000 0.625 0.375

Output
raw total energy = -6.311 eV per atom
space group = P4/mmm, No. 123
D(E_F) = 0.476 states/eV/atom

=====

Record 6
First-principles (PBE-GGA) data for an optimized crystal structure of RbAlSn, as listed in Alexandria.

a b c (Å): 10.442 10.442 4.684
angles (deg): 90.00 90.00 154.75
Fractional positions:
Sn 0.833 0.167 0.250
Sn 0.167 0.833 0.750
Al 0.751 0.249 0.750
Al 0.249 0.751 0.250
Rb 0.406 0.594 0.750
Rb 0.594 0.406 0.250

Output
raw total energy = -3.026 eV per atom
space group = Cmcm, No. 63
D(E_F) = 0.106 states/eV/atom

=====

V per entry: 148 96 109 86 78 218 Å³/cell